K2PuVF6, relaxed, DFT PBE+U; V = 364.32 Å³ per cell; DOS at the Fermi energy = 24.47 states/eV per cell; E_tot = -126.697 eV/cell; symmetry = Pmmn (59)
1.0
-4.5219 -3.3609 2.3634
2.9560 -5.6255 -2.3441
4.5042 -0.7687 7.5247
F K V Pu
12 4 2 2
Cartesian
1.7923 -8.3958 3.2192
-1.0394 -0.9254 0.5276
3.4427 -4.6670 -0.0500
-1.6593 -5.7570 0.4051
1.6802 -3.3946 6.2847
0.0846 -5.2943 4.5582
-0.4955 -3.0233 2.6500
-3.3669 -2.6554 1.7441
5.7712 -5.0644 3.8400
0.5563 -4.1102 -0.7529
2.3909 -3.5801 3.3528
3.9866 -6.7649 2.0723
3.7974 -1.5977 4.9936
1.1441 -6.4330 0.9381
3.6540 -6.8613 5.1311
1.8031 -1.2573 1.6618
0.6057 -3.2342 4.4568
2.3416 -4.4561 -1.8568
4.2820 -4.2474 2.1527
-1.3348 -3.4429 0.4473